[1]
Material: Nb8VGe2
Method: DFT, GGA-PBE
State: relaxed

Cell lengths 7.502, 7.502, 6.322 Å; angles 110.75, 110.75, 35.89 degrees
Positions (direct):
Nb 0.016 0.016 0.239
Nb 0.168 0.168 0.695
Nb 0.343 0.343 0.595
Nb 0.391 0.391 0.085
Nb 0.609 0.609 0.915
Nb 0.657 0.657 0.405
Nb 0.832 0.832 0.305
Nb 0.984 0.984 0.761
V 0.500 0.500 0.500
Ge 0.195 0.195 0.167
Ge 0.805 0.805 0.833

Total DFT energy (no corrections)   -9.073 eV per atom

=====

[2]
Material: NbVGe2
Method: DFT, GGA-PBE
State: relaxed

Cell lengths 6.442, 6.442, 6.442 Å; angles 32.53, 32.53, 32.53 degrees
Positions (direct):
Nb 0.000 0.000 0.000
V 0.822 0.822 0.822
Ge 0.417 0.417 0.417
Ge 0.574 0.574 0.574

Excess energy over the best structure of this formula in the dataset   101 meV per atom

=====

[3]
Material: NbV2Ge
Method: DFT, GGA-PBE
State: relaxed

Cell lengths 3.266, 3.266, 5.632 Å; angles 90.00, 90.00, 90.00 degrees
Positions (direct):
Nb 0.000 0.000 0.000
V 0.500 0.500 0.269
V 0.500 0.500 0.731
Ge 0.000 0.000 0.500

Total DFT energy (no corrections)   -8.448 eV per atom

=====

[4]
Material: NbV3Ge
Method: DFT, GGA-PBE
State: relaxed

Cell lengths 8.562, 3.195, 11.014 Å; angles 90.00, 90.00, 90.00 degrees
Positions (direct):
Nb 0.147 0.250 0.010
Nb 0.353 0.750 0.510
Nb 0.647 0.250 0.490
Nb 0.853 0.750 0.990
V 0.065 0.250 0.411
V 0.086 0.750 0.228
V 0.156 0.750 0.807
V 0.344 0.250 0.307
V 0.414 0.250 0.728
V 0.435 0.750 0.911
V 0.565 0.250 0.089
V 0.586 0.750 0.272
V 0.656 0.750 0.693
V 0.844 0.250 0.193
V 0.914 0.250 0.772
V 0.935 0.750 0.589
Ge 0.152 0.250 0.630
Ge 0.348 0.750 0.130
Ge 0.652 0.250 0.870
Ge 0.848 0.750 0.370

Excess energy over the best structure of this formula in the dataset   0 meV per atom

=====

[5]
Material: NbVGe2
Method: DFT, GGA-PBE
State: relaxed

Cell lengths 2.957, 4.053, 5.336 Å; angles 90.00, 94.32, 90.00 degrees
Positions (direct):
Nb 0.000 0.000 0.000
V 0.487 0.000 0.494
Ge 0.479 0.500 0.806
Ge 0.958 0.500 0.337

Excess energy over the best structure of this formula in the dataset   0 meV per atom

=====

[6]
Material: NbVGe
Method: DFT, GGA-PBE
State: relaxed

Cell lengths 4.835, 4.835, 4.835 Å; angles 139.66, 139.66, 58.38 degrees
Positions (direct):
Nb 0.000 0.000 0.000
V 0.337 0.337 0.000
Ge 0.675 0.675 0.000

Total DFT energy (no corrections)   -8.199 eV per atom

=====

[7]
Material: Nb2V2Ge3
Method: DFT, GGA-PBE
State: relaxed

Cell lengths 5.177, 5.177, 6.899 Å; angles 97.13, 97.13, 38.29 degrees
Positions (direct):
Nb 0.072 0.072 0.236
Nb 0.928 0.928 0.764
V 0.356 0.356 0.052
V 0.644 0.644 0.948
Ge 0.210 0.210 0.700
Ge 0.500 0.500 0.500
Ge 0.790 0.790 0.300

Total DFT energy (no corrections)   -7.621 eV per atom

=====

[8]
Material: Nb5V5Ge6
Method: DFT, GGA-PBE
State: relaxed

Cell lengths 5.063, 7.484, 7.484 Å; angles 119.25, 90.00, 90.00 degrees
Positions (direct):
Nb 0.000 0.000 0.000
Nb 0.000 0.542 0.763
Nb 0.000 0.763 0.542
Nb 0.500 0.022 0.768
Nb 0.500 0.768 0.022
V 0.254 0.096 0.433
V 0.254 0.433 0.096
V 0.500 0.502 0.502
V 0.746 0.096 0.433
V 0.746 0.433 0.096
Ge 0.000 0.173 0.765
Ge 0.000 0.358 0.358
Ge 0.000 0.765 0.173
Ge 0.500 0.167 0.167
Ge 0.500 0.376 0.759
Ge 0.500 0.759 0.376

Total DFT energy (no corrections)   -8.162 eV per atom

=====

[9]
Material: Nb3VGe
Method: DFT, GGA-PBE
State: relaxed

Cell lengths 4.753, 4.753, 4.753 Å; angles 90.00, 90.00, 90.00 degrees
Positions (direct):
Nb 0.000 0.000 0.500
Nb 0.000 0.500 0.000
Nb 0.500 0.000 0.000
V 0.500 0.500 0.500
Ge 0.000 0.000 0.000

Excess energy over the best structure of this formula in the dataset   153 meV per atom

=====

[10]
Material: NbV3Ge
Method: DFT, GGA-PBE
State: relaxed

Cell lengths 4.584, 4.584, 4.584 Å; angles 90.00, 90.00, 90.00 degrees
Positions (direct):
Nb 0.000 0.000 0.000
V 0.000 0.000 0.500
V 0.000 0.500 0.000
V 0.500 0.000 0.000
Ge 0.500 0.500 0.500

Excess energy over the best structure of this formula in the dataset   1538 meV per atom

=====

[11]
Material: Nb2VGe6
Method: DFT, GGA-PBE
State: relaxed

Cell lengths 4.964, 4.964, 6.769 Å; angles 90.00, 90.00, 120.38 degrees
Positions (direct):
Nb 0.000 0.500 0.165
Nb 0.500 0.000 0.835
V 0.000 0.000 0.500
Ge 0.169 0.330 0.828
Ge 0.330 0.169 0.172
Ge 0.335 0.665 0.500
Ge 0.665 0.335 0.500
Ge 0.670 0.831 0.172
Ge 0.831 0.670 0.828

Total DFT energy (no corrections)   -6.613 eV per atom

=====

[12]
Material: NbV2Ge
Method: DFT, GGA-PBE
State: relaxed

Cell lengths 4.151, 4.151, 3.435 Å; angles 90.00, 90.00, 90.00 degrees
Positions (direct):
Nb 0.000 0.000 0.000
V 0.000 0.500 0.500
V 0.500 0.000 0.500
Ge 0.500 0.500 0.000

Total DFT energy (no corrections)   -8.456 eV per atom